No. 1
4
Lattice="0.000 3.884 3.884 3.884 0.000 3.884 3.884 3.884 0.000" Properties=species:S:1:pos:R:3 comment="PBE BaSc2I, relaxed" raw_formation_energy_ev_per_atom=0.36 n_ef_per_ev_cell=5.348 spacegroup=Fm-3m crystal_system=cubic de_polymorph_mev_per_atom=271 pbc="T T T"
Ba 0.000 0.000 0.000
Sc 1.942 1.942 1.942
Sc 5.827 5.827 5.827
I 3.884 3.884 3.884

---

No. 2
6
Lattice="3.921 0.000 0.000 -1.550 6.810 0.000 -0.482 -1.846 8.108" Properties=species:S:1:pos:R:3 comment="PBE BaScI, relaxed" raw_formation_energy_ev_per_atom=-0.42 n_ef_per_ev_cell=7.291 spacegroup=P1 crystal_system=triclinic de_polymorph_mev_per_atom=27 pbc="T T T"
Ba 0.000 0.000 0.000
Ba -0.245 -0.272 4.576
Sc 0.254 3.247 4.977
Sc 2.078 2.468 2.539
I 0.183 4.791 2.270
I 1.504 1.159 7.366

---

No. 3
6
Lattice="6.908 -2.060 0.000 6.908 2.060 0.000 -4.629 0.000 7.816" Properties=species:S:1:pos:R:3 comment="PBE BaScI, relaxed" raw_formation_energy_ev_per_atom=-0.44 n_ef_per_ev_cell=7.632 spacegroup=Cm crystal_system=monoclinic de_polymorph_mev_per_atom=0 pbc="T T T"
Ba 0.000 0.000 0.000
Ba -0.444 0.000 4.538
Sc 3.080 0.000 4.738
Sc 9.374 0.000 2.513
I 4.802 0.000 2.188
I 5.150 0.000 7.143